The following is a PBE with a Hubbard U calculation of a relaxed TaAgMo2O crystal, from the Alexandria database.

For the electronic total energy, the calculation gives -4.3721 eV per atom.

POSCAR file:
```
TaAgMo2O
1.0
5.233 0.000 0.000
0.000 5.015 0.000
0.000 0.000 5.233
Mo O Ag Ta
2 1 1 1
direct
0.000 0.000 0.500
0.500 0.000 0.000
0.500 0.500 0.500
0.000 0.000 0.000
0.000 0.500 0.000
```